P) VASP calculation (GGA-PBE) on an optimized crystal structure of ScTeSe.

crystal system: hexagonal
symmetry: P-6m2

a b c (Å): 4.5845 4.5845 4.1272
angles (deg): 90.00 90.00 120.00
Closest atoms and distances in Å follow each position.
Atoms (fractional coordinates):
Sc (0.0000, 0.0000, 0.0000)  3 Se 2.65
Te (0.6667, 0.3333, 0.5000)  6 Sc 3.36, 6 Se 3.36
Se (0.3333, 0.6667, 0.0000)  3 Sc 2.65



Q) VASP calculation (GGA-PBE) on an optimized crystal structure of ScTeSe.

crystal system: orthorhombic
symmetry: Pnma

a b c (Å): 16.6245 4.0883 4.0883
angles (deg): 90.00 90.00 90.00
Closest atoms and distances in Å follow each position.
Atoms (fractional coordinates):
Sc (0.1254, 0.2500, 0.2492)  4 Se 2.92, 5 Te 3.07-3.11
Sc (0.3746, 0.7500, 0.7492)  4 Se 2.92, 5 Te 3.07-3.11
Sc (0.6254, 0.2500, 0.2508)  4 Se 2.92, 5 Te 3.07-3.11
Sc (0.8746, 0.7500, 0.7508)  4 Se 2.92, 5 Te 3.07-3.11
Te (0.1874, 0.7500, 0.7491)  5 Sc 3.07-3.11
Te (0.3126, 0.2500, 0.2491)  5 Sc 3.07-3.11
Te (0.6874, 0.7500, 0.7509)  5 Sc 3.07-3.11
Te (0.8126, 0.2500, 0.2509)  5 Sc 3.07-3.11
Se (0.0000, 0.2500, 0.7500)  4 Se 2.89, 4 Sc 2.92
Se (0.0000, 0.7500, 0.2500)  4 Se 2.89, 4 Sc 2.92
Se (0.5000, 0.2500, 0.7500)  4 Se 2.89, 4 Sc 2.92
Se (0.5000, 0.7500, 0.2500)  4 Se 2.89, 4 Sc 2.92



R) VASP calculation (GGA-PBE) on an optimized crystal structure of ScTeSe.

crystal system: trigonal
symmetry: P3m1

a b c (Å): 3.7266 3.7266 7.4095
angles (deg): 90.00 90.00 120.00
Closest atoms and distances in Å follow each position.
Atoms (fractional coordinates):
Sc (0.0000, 0.0000, 0.0000)  3 Se 2.60
Te (0.6667, 0.3333, 0.7051)  3 Sc 3.07
Se (0.3333, 0.6667, 0.1960)  3 Sc 2.60



R) wins, 0.050 eV/atom ahead of the next structure.